Record 1
# LuTlGaTe3

A geometry-optimized LuTlGaTe3 structure (PBE, the Open Quantum Materials Database).

abc: 7.954 7.954 11.430
angles: 90.00 90.00 147.21
Fractional positions:
Te  0.634  0.366  0.953
Te  0.634  0.366  0.547
Te  0.366  0.634  0.453
Te  0.074  0.926  0.250
Te  0.366  0.634  0.047
Te  0.926  0.074  0.750
Tl  0.247  0.753  0.750
Tl  0.753  0.247  0.250
Lu  0.000  0.000  0.500
Lu  0.000  0.000  0.000
Ga  0.536  0.464  0.750
Ga  0.464  0.536  0.250

Computed properties:
- M_tot (μB/atom) = 0.0010
- ΔE to the lowest computed polymorph (kJ/mol of formula units) = 10

=====

Record 2
# SmGdNi2Sn

A geometry-optimized SmGdNi2Sn structure (PBE, the Open Quantum Materials Database).

abc: 3.682 7.260 7.260
angles: 32.26 90.00 90.00
Fractional positions:
Ni  0.500  0.198  0.198
Ni  0.500  0.801  0.801
Sn  0.500  0.001  0.001
Sm  0.000  0.364  0.364
Gd  0.000  0.636  0.636

Computed properties:
- M_tot (μB/atom) = 0.0004

=====

Record 3
# Dy2Y3Tm2Ni2Te2

A geometry-optimized Dy2Y3Tm2Ni2Te2 structure (PBE, the Open Quantum Materials Database).

abc: 9.352 9.352 9.352
angles: 156.25 66.94 118.45
Fractional positions:
Tm  0.764  0.895  0.868
Tm  0.027  0.895  0.132
Dy  0.412  0.097  0.315
Dy  0.781  0.097  0.685
Te  0.141  0.141  0.000
Te  0.742  0.242  0.500
Ni  0.167  0.405  0.761
Ni  0.644  0.405  0.239
Y  0.392  0.745  0.646
Y  0.099  0.745  0.354
Y  0.477  0.477  0.000

Computed properties:
- M_tot (μB/atom) = 0.0007
- ΔE to the lowest computed polymorph (kJ/mol of formula units) = 9

=====

Record 4
# CsLaHgSe3

A geometry-optimized CsLaHgSe3 structure (PBE, the Open Quantum Materials Database).

abc: 11.412 8.443 8.443
angles: 30.20 90.00 90.00
Fractional positions:
Se  0.698  0.623  0.623
Se  0.198  0.377  0.377
Se  0.302  0.623  0.623
Se  0.500  0.934  0.934
Se  0.802  0.377  0.377
Se  0.000  0.066  0.066
Cs  0.000  0.747  0.747
Cs  0.500  0.253  0.253
La  0.250  0.000  0.000
La  0.750  0.000  0.000
Hg  0.000  0.461  0.461
Hg  0.500  0.539  0.539

Computed properties:
- M_tot (μB/atom) = 0.0005

=====

Record 5
# DyHo2Al3Cu2Ni

A geometry-optimized DyHo2Al3Cu2Ni structure (PBE, the Open Quantum Materials Database).

abc: 3.974 6.978 6.978
angles: 119.91 90.00 90.00
Fractional positions:
Cu  0.500  0.332  0.667
Cu  0.500  0.667  0.332
Al  0.500  0.230  0.230
Al  0.500  0.769  0.001
Al  0.500  0.001  0.769
Ho  0.000  0.411  0.000
Ho  0.000  0.000  0.411
Ni  0.000  0.001  0.001
Dy  0.000  0.588  0.588

Computed properties:
- M_tot (μB/atom) = 0.0002

=====

Record 6
# Dy2Y3Al3

A geometry-optimized Dy2Y3Al3 structure (PBE, the Open Quantum Materials Database).

abc: 5.352 6.367 6.367
angles: 75.04 90.00 90.00
Fractional positions:
Y  0.500  0.186  0.647
Y  0.500  0.647  0.186
Y  0.000  0.892  0.892
Al  0.500  0.140  0.140
Al  0.000  0.764  0.411
Al  0.000  0.411  0.764
Dy  0.000  0.285  0.285
Dy  0.500  0.675  0.675

Computed properties:
- M_tot (μB/atom) = 0.0086
- ΔE to the lowest computed polymorph (kJ/mol of formula units) = 102

=====

Record 7
# ZnCu

A geometry-optimized ZnCu structure (PBE, the Open Quantum Materials Database).

abc: 5.251 5.251 4.275
angles: 90.00 90.00 120.00
Fractional positions:
Zn  0.996  0.498  0.000
Zn  0.502  0.498  0.000
Zn  0.502  0.004  0.000
Zn  0.333  0.667  0.500
Cu  0.834  0.166  0.500
Cu  0.331  0.166  0.500
Cu  0.834  0.669  0.500
Cu  0.000  0.000  0.000

Computed properties:
- energy relative to the elements (eV/atom) = -0.057

=====

Record 8
# DyAgSO

A geometry-optimized DyAgSO structure (PBE, the Open Quantum Materials Database).

abc: 7.566 7.941 5.504
angles: 90.00 90.00 90.00
Fractional positions:
Dy  0.951  0.317  0.064
Dy  0.451  0.683  0.064
Dy  0.549  0.317  0.564
Dy  0.049  0.683  0.564
Ag  0.627  0.885  0.555
Ag  0.127  0.115  0.555
Ag  0.873  0.885  0.055
Ag  0.373  0.115  0.055
S  0.909  0.364  0.564
S  0.091  0.636  0.064
S  0.591  0.364  0.064
S  0.409  0.636  0.564
O  0.419  0.098  0.566
O  0.919  0.902  0.566
O  0.581  0.902  0.066
O  0.081  0.098  0.066

Computed properties:
- M_tot (μB/atom) = 0.0005

=====

Record 9
# Li2InAg2SnAu2

A geometry-optimized Li2InAg2SnAu2 structure (PBE, the Open Quantum Materials Database).

abc: 4.695 4.695 6.635
angles: 90.00 90.00 90.00
Fractional positions:
Au  0.000  0.500  0.751
Au  0.500  0.000  0.249
Li  0.500  0.500  0.000
Li  0.000  0.000  0.500
Sn  0.500  0.500  0.500
Ag  0.000  0.500  0.249
Ag  0.500  0.000  0.751
In  0.000  0.000  0.000

=====

Record 10
# MgRe

A geometry-optimized MgRe structure (PBE, the Open Quantum Materials Database).

abc: 5.117 2.792 4.514
angles: 90.00 90.00 90.00
Fractional positions:
Mg  0.001  0.000  0.000
Mg  0.833  0.500  0.500
Re  0.490  0.500  0.000
Re  0.343  0.000  0.500

Computed properties:
- M_tot (μB/atom) = 0.0006
- ΔE to the lowest computed polymorph (kJ/mol of formula units) = 54

=====

Record 11
# Tl2NiPt3S6

A geometry-optimized Tl2NiPt3S6 structure (PBE, the Open Quantum Materials Database).

abc: 7.048 7.048 5.974
angles: 90.00 90.00 120.00
Fractional positions:
Ni  0.000  0.000  0.000
S  0.836  0.673  0.805
S  0.327  0.164  0.805
S  0.673  0.836  0.195
S  0.836  0.164  0.805
S  0.164  0.327  0.195
S  0.164  0.836  0.195
Pt  0.500  0.000  0.000
Pt  0.000  0.500  0.000
Pt  0.500  0.500  0.000
Tl  0.333  0.667  0.615
Tl  0.667  0.333  0.385

Computed properties:
- M_tot (μB/atom) = 0.0000

=====

Record 12
# PrHoPu

A geometry-optimized PrHoPu structure (PBE, the Open Quantum Materials Database).

abc: 5.331 5.331 5.331
angles: 60.00 60.00 60.00
Each line ends with the local moment (μB).
Fractional positions:
Pu  0.250  0.250  0.250  5.64
Ho  0.500  0.500  0.500  0.28
Pr  0.000  0.000  0.000  0.11

Computed properties:
- M_tot (μB/atom) = 2.1490
- energy relative to the elements (eV/atom) = 0.770
- ΔE to the lowest computed polymorph (kJ/mol of formula units) = 0

=====

Record 13
# MgScGaPd

A geometry-optimized MgScGaPd structure (PBE, the Open Quantum Materials Database).

abc: 4.590 4.590 4.590
angles: 60.00 60.00 60.00
Fractional positions:
Ga  0.250  0.250  0.250
Sc  0.000  0.000  0.000
Pd  0.500  0.500  0.500
Mg  0.750  0.750  0.750

Computed properties:
- M_tot (μB/atom) = 0.0002
- ΔE to the lowest computed polymorph (kJ/mol of formula units) = 35

=====

Record 14
# NaNbSeO

A geometry-optimized NaNbSeO structure (PBE, the Open Quantum Materials Database).

abc: 3.699 3.699 9.051
angles: 90.00 90.00 90.00
Fractional positions:
Na  0.250  0.750  0.500
Na  0.750  0.250  0.500
O  0.750  0.250  0.000
O  0.250  0.750  0.000
Se  0.750  0.750  0.268
Se  0.250  0.250  0.732
Nb  0.750  0.750  0.873
Nb  0.250  0.250  0.127

Computed properties:
- M_tot (μB/atom) = 0.0054
- ΔE to the lowest computed polymorph (kJ/mol of formula units) = 157

=====

Record 15
# Pm2Si3Ir

A geometry-optimized Pm2Si3Ir structure (PBE, the Open Quantum Materials Database).

abc: 8.266 8.227 5.887
angles: 69.44 68.74 41.82
Fractional positions:
Ir  0.834  0.834  0.166
Ir  0.166  0.166  0.834
Si  0.334  0.834  0.666
Si  0.166  0.666  0.834
Si  0.666  0.166  0.334
Si  0.333  0.333  0.667
Si  0.667  0.667  0.333
Si  0.834  0.334  0.166
Pm  0.250  0.250  0.250
Pm  0.750  0.750  0.750
Pm  0.249  0.751  0.249
Pm  0.751  0.249  0.751

Computed properties:
- M_tot (μB/atom) = 0.0001

=====

Record 16
# ScSn2W

A geometry-optimized ScSn2W structure (PBE, the Open Quantum Materials Database).

abc: 4.902 4.902 4.902
angles: 60.00 60.00 60.00
Each line ends with the local moment (μB).
Fractional positions:
W  0.250  0.250  0.250  0.16
Sn  0.000  0.000  0.000  0.00
Sn  0.750  0.750  0.750  -0.01
Sc  0.500  0.500  0.500  0.04

Computed properties:
- M_tot (μB/atom) = 0.0795

=====

Record 17
# SnOsPb2O6

A geometry-optimized SnOsPb2O6 structure (PBE, the Open Quantum Materials Database).

abc: 5.664 5.664 5.664
angles: 61.18 61.18 61.18
Each line ends with the local moment (μB).
Fractional positions:
Pb  0.253  0.253  0.253  0.01
Pb  0.747  0.747  0.747  0.01
O  0.812  0.258  0.678  0.08
O  0.188  0.742  0.322  0.08
O  0.742  0.322  0.188  0.07
O  0.322  0.188  0.742  0.07
O  0.258  0.678  0.812  0.07
O  0.678  0.812  0.258  0.07
Sn  0.000  0.000  0.000  -0.01
Os  0.500  0.500  0.500  1.35

Computed properties:
- M_tot (μB/atom) = 0.1999
- ΔE to the lowest computed polymorph (kJ/mol of formula units) = 0

=====

Record 18
# SrFeGe

A geometry-optimized SrFeGe structure (PBE, the Open Quantum Materials Database).

abc: 5.008 5.008 5.008
angles: 60.00 60.00 60.00
Fractional positions:
Fe  0.250  0.250  0.250
Ge  0.750  0.750  0.750
Sr  0.000  0.000  0.000

Computed properties:
- M_tot (μB/atom) = 1.0452

=====

Record 19
# SmDyPO

A geometry-optimized SmDyPO structure (PBE, the Open Quantum Materials Database).

abc: 4.174 7.598 5.571
angles: 90.00 90.00 90.00
Fractional positions:
Dy  0.000  0.706  0.439
Dy  0.000  0.294  0.939
P  0.000  0.649  0.937
P  0.000  0.351  0.437
Sm  0.500  0.129  0.472
Sm  0.500  0.871  0.972
O  0.500  0.824  0.405
O  0.500  0.176  0.905

Computed properties:
- M_tot (μB/atom) = 0.0001
- ΔE to the lowest computed polymorph (kJ/mol of formula units) = 11

=====

Record 20
# RbPIrO

A geometry-optimized RbPIrO structure (PBE, the Open Quantum Materials Database).

abc: 3.914 3.914 11.358
angles: 90.00 90.00 90.00
Fractional positions:
P  0.500  0.000  0.386
P  0.000  0.500  0.614
Ir  0.000  0.000  0.500
Ir  0.500  0.500  0.500
Rb  0.500  0.000  0.837
Rb  0.000  0.500  0.163
O  0.000  0.000  0.000
O  0.500  0.500  0.000

Computed properties:
- M_tot (μB/atom) = 0.0006
- ΔE to the lowest computed polymorph (kJ/mol of formula units) = 54

=====

Taking the records one at a time from the top gives VASP energy values of -3.889; -5.479; -5.679; -4.063; -4.734; -5.093; -2.548; -5.600; -3.177; -6.633; -4.843; -7.056; -4.581; -5.941; -6.671; -6.346; -6.300; -3.804; -6.901; -5.390 eV per atom.